Density functional theory data (PBE-GGA) for a geometry-optimized SrZrS2Cl structure.

Computed properties:
Energy relative to the lowest polymorph listed for this composition in kJ/mol of formula units: 0
Formation energy (no corrections) in meV/atom: -1610
Spin magnetization in μB/f.u.: 0.00

The structure in POSCAR format:
```
SrZrS2Cl
1.0
5.054 0.000 0.000
0.000 5.054 0.000
0.000 0.000 4.961
Sr Zr S Cl
1 1 2 1
direct
0.000 0.000 0.000 Sr
0.500 0.500 0.500 Zr
0.000 0.500 0.500 S
0.500 0.000 0.500 S
0.500 0.500 0.000 Cl
```



Density functional theory data (PBE-GGA) for a geometry-optimized LaCo2Au structure.

Computed properties:
Spin magnetization in μB/f.u.: 2.19
Formation energy from the elements in eV/atom: 0.089

The structure in POSCAR format:
```
LaCo2Au
1.0
-2.216 2.216 8.950
2.216 -2.216 8.950
2.216 2.216 -8.950
La Co Au
2 4 2
direct
0.000 0.000 0.000 La
0.750 0.250 0.500 La
0.332 0.625 0.207 Co
0.375 0.582 0.707 Co
0.418 0.125 0.793 Co
0.875 0.668 0.293 Co
0.250 0.750 0.500 Au
0.500 0.500 0.000 Au
```



- Number 1 is which compound?
  SrZrS2Cl